Record 1
10
Lattice="4.558 0.000 0.000 0.000 4.558 0.000 0.000 0.000 10.816" Properties=species:S:1:pos:R:3 comment="NaAc2Zn3Ge4 (PBE, optimized geometry)" m_tot_mub_per_fu=0.00 pbc="T T T"
Na 2.279 2.279 5.408
Ac 2.279 0.000 2.558
Ac 0.000 2.279 8.257
Zn 0.000 0.000 5.408
Zn 2.279 0.000 9.517
Zn 0.000 2.279 1.299
Ge 2.279 2.279 0.000
Ge 0.000 0.000 0.000
Ge 2.279 0.000 7.028
Ge 0.000 2.279 3.788

=====

Record 2
4
Lattice="3.590 0.000 0.000 0.000 3.590 0.000 0.000 0.000 6.848" Properties=species:S:1:pos:R:3 comment="AcNbGe2 (PBE, optimized geometry)" e_above_lowest_polymorph_mev_per_atom=56 m_tot_mub_per_fu=0.00 pbc="T T T"
Ac 1.795 1.795 3.424
Ge 0.000 0.000 5.561
Ge 0.000 0.000 1.288
Nb 1.795 1.795 0.000

=====

Number 1: final energy -35.9 eV per cell. Number 2: final energy -24.7 eV per cell.